(1)
Here is a geometry-optimized TaAl2Tc structure from Alexandria. Energies are from GGA-PBE.

The excess energy over the best structure of this formula in the dataset comes out at 233 meV/atom. The formation energy comes out at -148 meV/atom. As for the space group: Cmmm (65).

CIF file:
```
data_TaAl2Tc
_chemical_formula_sum 'Ta2 Al4 Tc2'
_cell_length_a 3.388
_cell_length_b 4.416
_cell_length_c 8.386
_cell_angle_alpha 90.00
_cell_angle_beta 90.00
_cell_angle_gamma 90.00
_space_group_name_H-M_alt 'P 1'
_space_group_IT_number 1
loop_
_space_group_symop_operation_xyz
'x,y,z'
loop_
_atom_site_label
_atom_site_type_symbol
_atom_site_fract_x
_atom_site_fract_y
_atom_site_fract_z
Ta1 Ta 0.000 0.000 0.000
Ta2 Ta 0.500 0.500 0.000
Al1 Al 0.000 0.500 0.264
Al2 Al 0.000 0.500 0.736
Al3 Al 0.500 0.000 0.264
Al4 Al 0.500 0.000 0.736
Tc1 Tc 0.000 0.000 0.500
Tc2 Tc 0.500 0.500 0.500
```

***

(2)
Here is a geometry-optimized Sm12Ho6Zr structure from Alexandria. Energies are from GGA-PBE.

The formation energy comes out at 34 meV/atom. As for the space group: R-3 (148).

CIF file:
```
data_Sm12Ho6Zr
_chemical_formula_sum 'Sm12 Ho6 Zr1'
_cell_length_a 9.441
_cell_length_b 9.441
_cell_length_c 9.441
_cell_angle_alpha 110.92
_cell_angle_beta 110.92
_cell_angle_gamma 110.92
_space_group_name_H-M_alt 'P 1'
_space_group_IT_number 1
loop_
_space_group_symop_operation_xyz
'x,y,z'
loop_
_atom_site_label
_atom_site_type_symbol
_atom_site_fract_x
_atom_site_fract_y
_atom_site_fract_z
Sm1 Sm 0.056 0.583 0.373
Sm2 Sm 0.103 0.154 0.742
Sm3 Sm 0.154 0.742 0.103
Sm4 Sm 0.258 0.897 0.846
Sm5 Sm 0.373 0.056 0.583
Sm6 Sm 0.417 0.627 0.944
Sm7 Sm 0.583 0.373 0.056
Sm8 Sm 0.627 0.944 0.417
Sm9 Sm 0.742 0.103 0.154
Sm10 Sm 0.846 0.258 0.897
Sm11 Sm 0.897 0.846 0.258
Sm12 Sm 0.944 0.417 0.627
Ho1 Ho 0.209 0.311 0.464
Ho2 Ho 0.311 0.464 0.209
Ho3 Ho 0.464 0.209 0.311
Ho4 Ho 0.536 0.791 0.689
Ho5 Ho 0.689 0.536 0.791
Ho6 Ho 0.791 0.689 0.536
Zr1 Zr 0.000 0.000 0.000
```

***

(3)
Here is a geometry-optimized Sr6Te3PCl2 structure from Alexandria. Energies are from GGA-PBE.

The calculation puts the uncorrected formation energy at -20.3 eV/f.u. As for the space group: C2/m (12).

CIF file:
```
data_Sr6Te3PCl2
_chemical_formula_sum 'Sr6 Te3 P1 Cl2'
_cell_length_a 7.930
_cell_length_b 7.930
_cell_length_c 7.859
_cell_angle_alpha 99.55
_cell_angle_beta 99.55
_cell_angle_gamma 119.97
_space_group_name_H-M_alt 'P 1'
_space_group_IT_number 1
loop_
_space_group_symop_operation_xyz
'x,y,z'
loop_
_atom_site_label
_atom_site_type_symbol
_atom_site_fract_x
_atom_site_fract_y
_atom_site_fract_z
Sr1 Sr 0.079 0.392 0.735
Sr2 Sr 0.231 0.231 0.258
Sr3 Sr 0.392 0.079 0.735
Sr4 Sr 0.608 0.921 0.265
Sr5 Sr 0.769 0.769 0.742
Sr6 Sr 0.921 0.608 0.265
Te1 Te 0.175 0.825 0.000
Te2 Te 0.500 0.500 0.000
Te3 Te 0.825 0.175 0.000
P1 P 0.000 0.000 0.500
Cl1 Cl 0.335 0.665 0.500
Cl2 Cl 0.665 0.335 0.500
```

***

(4)
Here is a geometry-optimized Ca2Ni4Sb3Ir structure from Alexandria. Energies are from GGA-PBE.

The calculation puts the uncorrected formation energy at -4.2 eV/f.u. As for the space group: P-4m2 (115).

CIF file:
```
data_Ca2Ni4Sb3Ir
_chemical_formula_sum 'Ca2 Ni4 Sb3 Ir1'
_cell_length_a 4.211
_cell_length_b 4.211
_cell_length_c 10.622
_cell_angle_alpha 90.00
_cell_angle_beta 90.00
_cell_angle_gamma 90.00
_space_group_name_H-M_alt 'P 1'
_space_group_IT_number 1
loop_
_space_group_symop_operation_xyz
'x,y,z'
loop_
_atom_site_label
_atom_site_type_symbol
_atom_site_fract_x
_atom_site_fract_y
_atom_site_fract_z
Ca1 Ca 0.000 0.500 0.245
Ca2 Ca 0.500 0.000 0.755
Ni1 Ni 0.000 0.000 0.500
Ni2 Ni 0.000 0.500 0.867
Ni3 Ni 0.500 0.000 0.133
Ni4 Ni 0.500 0.500 0.500
Sb1 Sb 0.000 0.000 0.000
Sb2 Sb 0.000 0.500 0.632
Sb3 Sb 0.500 0.000 0.368
Ir1 Ir 0.500 0.500 0.000
```

***

(5)
Here is a geometry-optimized Ca5Ag2Hg structure from Alexandria. Energies are from GGA-PBE.

The formation energy comes out at -352 meV/atom. As for the space group: I4/mcm (140).

CIF file:
```
data_Ca5Ag2Hg
_chemical_formula_sum 'Ca10 Ag4 Hg2'
_cell_length_a 9.331
_cell_length_b 9.331
_cell_length_c 9.331
_cell_angle_alpha 128.70
_cell_angle_beta 128.70
_cell_angle_gamma 75.49
_space_group_name_H-M_alt 'P 1'
_space_group_IT_number 1
loop_
_space_group_symop_operation_xyz
'x,y,z'
loop_
_atom_site_label
_atom_site_type_symbol
_atom_site_fract_x
_atom_site_fract_y
_atom_site_fract_z
Ca1 Ca 0.000 0.000 0.000
Ca2 Ca 0.022 0.522 0.835
Ca3 Ca 0.187 0.022 0.500
Ca4 Ca 0.313 0.813 0.835
Ca5 Ca 0.478 0.313 0.500
Ca6 Ca 0.500 0.500 0.000
Ca7 Ca 0.522 0.687 0.500
Ca8 Ca 0.687 0.187 0.165
Ca9 Ca 0.813 0.978 0.500
Ca10 Ca 0.978 0.478 0.165
Ag1 Ag 0.126 0.374 0.500
Ag2 Ag 0.374 0.874 0.248
Ag3 Ag 0.626 0.126 0.752
Ag4 Ag 0.874 0.626 0.500
Hg1 Hg 0.250 0.250 0.000
Hg2 Hg 0.750 0.750 0.000
```

***

(6)
Here is a geometry-optimized AcDyCuPt structure from Alexandria. Energies are from GGA-PBE.

The formation energy comes out at -596 meV/atom. As for the space group: F-43m (216).

CIF file:
```
data_AcDyCuPt
_chemical_formula_sum 'Ac4 Dy4 Cu4 Pt4'
_cell_length_a 7.301
_cell_length_b 7.301
_cell_length_c 7.301
_cell_angle_alpha 90.00
_cell_angle_beta 90.00
_cell_angle_gamma 90.00
_space_group_name_H-M_alt 'P 1'
_space_group_IT_number 1
loop_
_space_group_symop_operation_xyz
'x,y,z'
loop_
_atom_site_label
_atom_site_type_symbol
_atom_site_fract_x
_atom_site_fract_y
_atom_site_fract_z
Ac1 Ac 0.000 0.000 0.000
Ac2 Ac 0.000 0.500 0.500
Ac3 Ac 0.500 0.000 0.500
Ac4 Ac 0.500 0.500 0.000
Dy1 Dy 0.000 0.000 0.500
Dy2 Dy 0.000 0.500 0.000
Dy3 Dy 0.500 0.000 0.000
Dy4 Dy 0.500 0.500 0.500
Cu1 Cu 0.250 0.250 0.750
Cu2 Cu 0.250 0.750 0.250
Cu3 Cu 0.750 0.250 0.250
Cu4 Cu 0.750 0.750 0.750
Pt1 Pt 0.250 0.250 0.250
Pt2 Pt 0.250 0.750 0.750
Pt3 Pt 0.750 0.250 0.750
Pt4 Pt 0.750 0.750 0.250
```

***

(7)
Here is a geometry-optimized K2Ac2CeO6 structure from Alexandria. Energies are from GGA-PBE.

The calculation puts the uncorrected formation energy at -30.6 eV/f.u. As for the space group: C2/m (12).

CIF file:
```
data_K2Ac2CeO6
_chemical_formula_sum 'K2 Ac2 Ce1 O6'
_cell_length_a 6.526
_cell_length_b 6.526
_cell_length_c 6.666
_cell_angle_alpha 98.08
_cell_angle_beta 98.08
_cell_angle_gamma 119.66
_space_group_name_H-M_alt 'P 1'
_space_group_IT_number 1
loop_
_space_group_symop_operation_xyz
'x,y,z'
loop_
_atom_site_label
_atom_site_type_symbol
_atom_site_fract_x
_atom_site_fract_y
_atom_site_fract_z
K1 K 0.157 0.843 0.000
K2 K 0.843 0.157 0.000
Ac1 Ac 0.335 0.665 0.500
Ac2 Ac 0.665 0.335 0.500
Ce1 Ce 0.000 0.000 0.500
O1 O 0.040 0.361 0.674
O2 O 0.239 0.239 0.320
O3 O 0.361 0.040 0.674
O4 O 0.639 0.960 0.326
O5 O 0.761 0.761 0.680
O6 O 0.960 0.639 0.326
```

***

(8)
Here is a geometry-optimized PuPaGaOs structure from Alexandria. Energies are from GGA-PBE.

The excess energy over the best structure of this formula in the dataset comes out at 43 meV/atom. The formation energy comes out at -227 meV/atom. As for the space group: F-43m (216).

CIF file:
```
data_PuPaGaOs
_chemical_formula_sum 'Pu4 Pa4 Ga4 Os4'
_cell_length_a 6.756
_cell_length_b 6.756
_cell_length_c 6.756
_cell_angle_alpha 90.00
_cell_angle_beta 90.00
_cell_angle_gamma 90.00
_space_group_name_H-M_alt 'P 1'
_space_group_IT_number 1
loop_
_space_group_symop_operation_xyz
'x,y,z'
loop_
_atom_site_label
_atom_site_type_symbol
_atom_site_fract_x
_atom_site_fract_y
_atom_site_fract_z
Pu1 Pu 0.000 0.000 0.000
Pu2 Pu 0.000 0.500 0.500
Pu3 Pu 0.500 0.000 0.500
Pu4 Pu 0.500 0.500 0.000
Pa1 Pa 0.250 0.250 0.750
Pa2 Pa 0.250 0.750 0.250
Pa3 Pa 0.750 0.250 0.250
Pa4 Pa 0.750 0.750 0.750
Ga1 Ga 0.250 0.250 0.250
Ga2 Ga 0.250 0.750 0.750
Ga3 Ga 0.750 0.250 0.750
Ga4 Ga 0.750 0.750 0.250
Os1 Os 0.000 0.000 0.500
Os2 Os 0.000 0.500 0.000
Os3 Os 0.500 0.000 0.000
Os4 Os 0.500 0.500 0.500
```